The following is a PBEsol calculation of crystalline FeAgAu2 at its relaxed geometry, from Alexandria.

Lattice parameters (Å, degrees): 4.7669 4.7669 2.7860 90.00 90.00 90.00
Space group P4/mmm (No. 123)
One atom of each set of equivalent atoms:
1 Fe 0.0000 0.0000 0.0000 (multiplicity 1)
2 Ag 0.5000 0.5000 0.0000 (multiplicity 1)
3 Au 0.0000 0.5000 0.5000 (multiplicity 2)

Properties
E   -19.4 eV for the cell shown
E_form   0.17 eV/atom
Crystal system   tetragonal
Distance to the lowest polymorph of the same formula   20 meV/atom